[1]
The following is a DFT calculation (PBE-GGA) of a geometry-optimized GdErScOs structure.

a b c (Å): 7.097 7.097 7.097
angles (deg): 90.00 90.00 90.00
Space group F-43m (No. 216)
Inequivalent atoms, fractional coordinates:
Gd: 0.000 0.000 0.000 [4 per cell]
Er: 0.000 0.000 0.500 [4 per cell]
Sc: 0.250 0.250 0.250 [4 per cell]
Os: 0.250 0.250 0.750 [4 per cell]

[2]
The following is a DFT calculation (PBE-GGA) of a geometry-optimized GdErTmOs structure.

a b c (Å): 7.209 7.209 7.209
angles (deg): 90.00 90.00 90.00
Space group F-43m (No. 216)
Inequivalent atoms, fractional coordinates:
Gd: 0.000 0.000 0.000 [4 per cell]
Er: 0.000 0.000 0.500 [4 per cell]
Tm: 0.250 0.250 0.250 [4 per cell]
Os: 0.250 0.250 0.750 [4 per cell]

[3]
The following is a DFT calculation (PBE-GGA) of a geometry-optimized GdEr2Pa structure.

a b c (Å): 3.401 3.401 10.144
angles (deg): 90.00 90.00 90.00
Space group P4/mmm (No. 123)
Inequivalent atoms, fractional coordinates:
Gd: 0.000 0.000 0.000 [1 per cell]
Er: 0.500 0.500 0.268 [2 per cell]
Pa: 0.000 0.000 0.500 [1 per cell]

[4]
The following is a DFT calculation (PBE-GGA) of a geometry-optimized GdErPa structure.

a b c (Å): 3.406 3.406 15.017
angles (deg): 90.00 90.00 90.00
Space group I4mm (No. 107)
Inequivalent atoms, fractional coordinates:
Gd: 0.000 0.000 0.000 [2 per cell]
Er: 0.000 0.000 0.313 [2 per cell]
Pa: 0.000 0.000 0.657 [2 per cell]

Output
The energy above the lowest structure with this stoichiometry is 25 meV/atom.

[5]
The following is a DFT calculation (PBE-GGA) of a geometry-optimized GdErPa structure.

a b c (Å): 3.4169 3.4169 8.5176
angles (deg): 90.00 90.00 120.00
Space group P3m1 (No. 156)
Inequivalent atoms, fractional coordinates:
Gd: 0.0000 0.0000 0.0000 [1 per cell]
Er: 0.3333 0.6667 0.6379 [1 per cell]
Pa: 0.6667 0.3333 0.3200 [1 per cell]

Output
The energy above the lowest structure with this stoichiometry is 0 meV/atom.

[6]
The following is a DFT calculation (PBE-GGA) of a geometry-optimized PmGdErPa structure.

a b c (Å): 7.913 7.913 7.913
angles (deg): 90.00 90.00 90.00
Space group F-43m (No. 216)
Inequivalent atoms, fractional coordinates:
Pm: 0.000 0.000 0.000 [4 per cell]
Gd: 0.000 0.000 0.500 [4 per cell]
Er: 0.250 0.250 0.750 [4 per cell]
Pa: 0.250 0.250 0.250 [4 per cell]

[7]
The following is a DFT calculation (PBE-GGA) of a geometry-optimized GdErPaSn structure.

a b c (Å): 7.542 7.542 7.542
angles (deg): 90.00 90.00 90.00
Space group F-43m (No. 216)
Inequivalent atoms, fractional coordinates:
Gd: 0.000 0.000 0.000 [4 per cell]
Er: 0.000 0.000 0.500 [4 per cell]
Pa: 0.250 0.250 0.750 [4 per cell]
Sn: 0.250 0.250 0.250 [4 per cell]

[8]
The following is a DFT calculation (PBE-GGA) of a geometry-optimized GdErPb2 structure.

a b c (Å): 5.034 5.034 4.462
angles (deg): 90.00 90.00 90.00
Space group P4/mmm (No. 123)
Inequivalent atoms, fractional coordinates:
Gd: 0.000 0.000 0.000 [1 per cell]
Er: 0.500 0.500 0.000 [1 per cell]
Pb: 0.000 0.500 0.500 [2 per cell]

Output
The energy above the lowest structure with this stoichiometry is 0 meV/atom.

Sequential N(E_F) output: 16.524; 14.015; 7.274; 10.119; 4.656; 31.603; 29.982; 3.729 states/eV/cell
Sequential DFT formation energy output: 10; 103; 121; 143; 118; 358; 12; -443 meV per atom